1.
This record from Alexandria via LeMat-Bulk describes a geometry-optimized KCl structure. The functional is PBE.

As for the space group: I-43m (217). As for the total magnetization: 0.06 μB per atom.

```
KCl
1.0
9.636 0.000 0.000
0.000 9.636 0.000
0.000 0.000 9.636
K Cl
8 8
Direct
0.341 0.341 0.341
0.341 0.659 0.659
0.659 0.341 0.659
0.659 0.659 0.341
0.841 0.841 0.841
0.841 0.159 0.159
0.159 0.841 0.159
0.159 0.159 0.841
0.161 0.161 0.161
0.161 0.839 0.839
0.839 0.161 0.839
0.839 0.839 0.161
0.661 0.661 0.661
0.661 0.339 0.339
0.339 0.661 0.339
0.339 0.339 0.661
```

2.
This record from Alexandria via LeMat-Bulk describes a geometry-optimized PmPu2US4 structure. The functional is PBE.

As for the space group: P2/m (10). As for the total magnetization: 1.08 μB per atom.

```
PmPu2US4
1.0
3.916 0.000 0.000
0.000 6.821 0.130
0.000 -2.373 6.463
Pm Pu U S
1 2 1 4
Direct
0.000 0.000 0.000
0.500 0.000 0.500
0.000 0.500 0.500
0.500 0.500 0.000
0.500 0.257 0.254
0.500 0.743 0.746
0.000 0.254 0.749
0.000 0.746 0.251
```

Formation energy without anion corrections across the listed records, respectively: -1.839; -1.713 eV per atom.
Uncorrected energy across the listed records, respectively: -52.98; -74.91 eV per cell.